Entry 1:
# Ca2P3

A relaxed structure of Ca2P3 (GGA-PBE, Alexandria via LeMat-Bulk).

The structure in POSCAR format:
```
Ca2P3
1.0
1.191 2.856 -2.630
-3.091 -2.461 -0.937
-5.340 5.396 3.443
P Ca
3 2
Cartesian
-3.123 4.000 -0.205
-4.117 1.791 0.081
0.000 0.000 0.000
-1.241 2.098 -1.418
-5.999 3.693 1.294
```

Results
Excess energy over the best structure of this formula in the dataset = 3.6 meV per atom
Calculated volume = 119 Å³ per cell
E_form = -15.6 kcal/mol of atoms
Theoretical density = 2.41 Mg/m³
Space group = P-3m1, No. 164

=====

Entry 2:
# Ca3P

A relaxed structure of Ca3P (GGA-PBE, Alexandria via LeMat-Bulk).

The structure in POSCAR format:
```
Ca3P
1.0
4.588 0.000 0.000
0.000 4.585 0.000
0.000 0.000 6.252
Ca P
3 1
Cartesian
2.294 2.293 6.139
0.000 0.000 6.135
2.294 0.000 2.764
0.000 2.293 1.633
```

Results
Excess energy over the best structure of this formula in the dataset = 264.3 meV per atom
Calculated volume = 132 Å³ per cell
E_form = -8.4 kcal/mol of atoms
Theoretical density = 1.91 Mg/m³
Space group = P4mm, No. 99

=====

Entry 3:
# Ca5P3

A relaxed structure of Ca5P3 (GGA-PBE, Alexandria via LeMat-Bulk).

The structure in POSCAR format:
```
Ca5P3
1.0
7.057 -0.001 0.000
-2.859 6.452 0.000
0.000 0.000 4.473
Ca P
5 3
Cartesian
1.209 1.858 2.236
3.529 0.000 0.000
-1.429 3.226 0.000
2.990 4.594 2.236
0.000 0.000 0.000
-1.197 5.371 2.236
5.395 1.081 2.236
2.099 3.226 0.000
```

Results
Excess energy over the best structure of this formula in the dataset = 81.3 meV per atom
Calculated volume = 204 Å³ per cell
E_form = -20.8 kcal/mol of atoms
Theoretical density = 2.39 Mg/m³
Space group = Cmmm, No. 65